DFT (PBEsol) results for a relaxed KCrOs2 crystal.

Structure (POSCAR):
```
KCrOs2
1.0
2.719 0.000 0.000
1.359 2.355 0.000
1.359 0.785 9.860
Cr K Os
1 1 2
Direct
0.500 0.500 0.500
0.000 0.000 0.000
0.234 0.234 0.298
0.766 0.766 0.702
```

Output
The energy relative to the elements comes out at 0.7247 eV/atom. The space-group type is R-3m, No. 166. The energy is -8.227 eV/atom.